Record 1
This record from the Alexandria database describes an optimized crystal structure of NdSmDyTm3. The functional is PBE-GGA.

Lattice parameters (Å, degrees): 5.828 11.279 11.664 90.00 90.00 90.00
Space group Cmcm (No. 63)
Symmetry-distinct sites (fractional):
Nd (0.000, 0.000, 0.000) (multiplicity 4)
Sm (0.000, 0.495, 0.250) (multiplicity 4)
Dy (0.000, 0.175, 0.250) (multiplicity 4)
Tm (0.000, 0.171, 0.750) (multiplicity 4)
Tm (0.000, 0.328, 0.504) (multiplicity 8)

Results
- crystal system = orthorhombic
- energy of formation (eV/atom) = 0.12
- VASP energy (Ry per atom) = -0.3284

---

Record 2
This record from the Alexandria database describes an optimized crystal structure of La2CeSi2. The functional is PBE-GGA.

Lattice parameters (Å, degrees): 6.130 17.546 5.195 90.00 90.00 90.00
Space group Cmcm (No. 63)
Symmetry-distinct sites (fractional):
La (0.000, 0.094, 0.250) (multiplicity 4)
La (0.000, 0.281, 0.750) (multiplicity 4)
Ce (0.000, 0.500, 0.000) (multiplicity 4)
Si (0.203, 0.360, 0.250) (multiplicity 8)

Results
- crystal system = orthorhombic
- offset from the most stable computed form (meV per atom) = 172
- VASP energy (Ry per atom) = -0.4211

---

Record 3
This record from the Alexandria database describes an optimized crystal structure of Cd2SiAg. The functional is PBE-GGA.

Lattice parameters (Å, degrees): 2.9346 2.9346 31.8209 90.00 90.00 120.00
Space group R3m (No. 160, hexagonal axes)
Symmetry-distinct sites (fractional):
Cd (0.0000, 0.0000, 0.0000) (multiplicity 3)
Cd (0.0000, 0.0000, 0.2377) (multiplicity 3)
Si (0.0000, 0.0000, 0.7530) (multiplicity 3)
Ag (0.0000, 0.0000, 0.4894) (multiplicity 3)

Results
- crystal system = trigonal
- VASP energy (Ry per atom) = -0.1731

---

Record 4
This record from the Alexandria database describes an optimized crystal structure of KBaW2. The functional is PBE-GGA.

Lattice parameters (Å, degrees): 5.691 12.084 2.880 90.00 107.64 90.00
Space group C2/m (No. 12)
Symmetry-distinct sites (fractional):
K (0.000, 0.000, 0.000) (multiplicity 2)
Ba (0.000, 0.500, 0.000) (multiplicity 2)
W (0.250, 0.250, 0.500) (multiplicity 4)

Results
- crystal system = monoclinic
- energy of formation (eV/atom) = 1.70
- offset from the most stable computed form (meV per atom) = 810
- VASP energy (Ry per atom) = -0.4062

---

Record 5
This record from the Alexandria database describes an optimized crystal structure of S5I2O18. The functional is PBE-GGA.

Lattice parameters (Å, degrees): 29.963 5.996 9.264 90.00 102.73 90.00
Space group C2/c (No. 15)
Symmetry-distinct sites (fractional):
S (0.000, 0.180, 0.250) (multiplicity 4)
S (0.081, 0.097, 0.782) (multiplicity 8)
S (0.205, 0.454, 0.830) (multiplicity 8)
I (0.143, 0.297, 0.520) (multiplicity 8)
O (0.027, 0.292, 0.374) (multiplicity 8)
O (0.031, 0.007, 0.181) (multiplicity 8)
O (0.073, 0.184, 0.917) (multiplicity 8)
O (0.089, 0.265, 0.675) (multiplicity 8)
O (0.113, 0.093, 0.295) (multiplicity 8)
O (0.171, 0.476, 0.174) (multiplicity 8)
O (0.188, 0.257, 0.885) (multiplicity 8)
O (0.197, 0.329, 0.423) (multiplicity 8)
O (0.249, 0.024, 0.185) (multiplicity 8)

Results
- crystal system = monoclinic
- VASP energy (Ry per atom) = -0.4010

---

Record 6
This record from the Alexandria database describes an optimized crystal structure of AgSn2Br5. The functional is PBE-GGA.

Lattice parameters (Å, degrees): 9.803 7.935 14.614 90.00 100.58 90.00
Space group P2_1/c (No. 14)
Symmetry-distinct sites (fractional):
Ag (0.000, 0.000, 0.000) (multiplicity 2)
Ag (0.500, 0.000, 0.000) (multiplicity 2)
Sn (0.140, 0.093, 0.399) (multiplicity 4)
Sn (0.337, 0.053, 0.725) (multiplicity 4)
Br (0.070, 0.129, 0.770) (multiplicity 4)
Br (0.134, 0.662, 0.067) (multiplicity 4)
Br (0.228, 0.170, 0.043) (multiplicity 4)
Br (0.367, 0.693, 0.361) (multiplicity 4)
Br (0.442, 0.197, 0.361) (multiplicity 4)

Results
- crystal system = monoclinic
- VASP energy (Ry per atom) = -0.2236

---

Record 7
This record from the Alexandria database describes an optimized crystal structure of KBa4AuC4O4. The functional is PBE-GGA.

Lattice parameters (Å, degrees): 6.161 6.161 15.499 90.00 90.00 90.00
Space group I4/mmm (No. 139)
Symmetry-distinct sites (fractional):
K (0.000, 0.000, 0.000) (multiplicity 2)
Ba (0.000, 0.500, 0.118) (multiplicity 8)
Au (0.000, 0.000, 0.500) (multiplicity 2)
C (0.000, 0.000, 0.193) (multiplicity 4)
C (0.000, 0.000, 0.275) (multiplicity 4)
O (0.230, 0.230, 0.500) (multiplicity 8)

Results
- crystal system = tetragonal
- VASP energy (Ry per atom) = -0.4242

---

Record 8
This record from the Alexandria database describes an optimized crystal structure of Cr2NiMo. The functional is PBE-GGA.

Lattice parameters (Å, degrees): 6.571 6.571 4.998 90.00 90.00 90.00
Space group I-42d (No. 122)
Symmetry-distinct sites (fractional):
Cr (0.239, 0.250, 0.125) (multiplicity 8)
Ni (0.000, 0.000, 0.000) (multiplicity 4)
Mo (0.000, 0.000, 0.500) (multiplicity 4)

Results
- crystal system = tetragonal
- energy of formation (eV/atom) = 0.73
- VASP energy (Ry per atom) = -0.6051

---

Record 9
This record from the Alexandria database describes an optimized crystal structure of BaCoHg2. The functional is PBE-GGA.

Lattice parameters (Å, degrees): 5.240 4.363 5.273 90.00 113.58 90.00
Space group P2/m (No. 10)
Symmetry-distinct sites (fractional):
Ba (0.000, 0.000, 0.000) (multiplicity 1)
Co (0.500, 0.000, 0.500) (multiplicity 1)
Hg (0.329, 0.500, 0.672) (multiplicity 2)

Results
- crystal system = monoclinic
- energy of formation (eV/atom) = 0.11
- VASP energy (Ry per atom) = -0.1690

---

Record 10
This record from the Alexandria database describes an optimized crystal structure of Er4InCu3. The functional is PBE-GGA.

Lattice parameters (Å, degrees): 4.9739 4.9739 24.3987 90.00 90.00 120.00
Space group R-3m (No. 166, hexagonal axes)
Symmetry-distinct sites (fractional):
Er (0.0000, 0.0000, 0.1177) (multiplicity 6)
Er (0.0000, 0.0000, 0.3690) (multiplicity 6)
In (0.0000, 0.0000, 0.5000) (multiplicity 3)
Cu (0.0000, 0.0000, 0.0000) (multiplicity 3)
Cu (0.0000, 0.0000, 0.2448) (multiplicity 6)

Results
- crystal system = trigonal
- energy of formation (eV/atom) = -0.30
- VASP energy (Ry per atom) = -0.3276

---

Record 11
This record from the Alexandria database describes an optimized crystal structure of LiThMgIn. The functional is PBE-GGA.

Lattice parameters (Å, degrees): 7.323 7.323 7.323 90.00 90.00 90.00
Space group F-43m (No. 216)
Symmetry-distinct sites (fractional):
Li (0.000, 0.000, 0.000) (multiplicity 4)
Th (0.250, 0.250, 0.250) (multiplicity 4)
Mg (0.250, 0.250, 0.750) (multiplicity 4)
In (0.000, 0.000, 0.500) (multiplicity 4)

Results
- crystal system = cubic
- energy of formation (eV/atom) = -0.06
- VASP energy (Ry per atom) = -0.2558

---

Record 12
This record from the Alexandria database describes an optimized crystal structure of ReCl2F2. The functional is PBE-GGA.

Lattice parameters (Å, degrees): 6.257 7.870 8.158 90.00 90.00 90.00
Space group Immm (No. 71)
Symmetry-distinct sites (fractional):
Re (0.203, 0.000, 0.000) (multiplicity 4)
Cl (0.000, 0.000, 0.241) (multiplicity 4)
Cl (0.000, 0.500, 0.304) (multiplicity 4)
F (0.230, 0.246, 0.000) (multiplicity 8)

Results
- crystal system = orthorhombic
- VASP energy (Ry per atom) = -0.3857

---

Record 13
This record from the Alexandria database describes an optimized crystal structure of ZrHPd2Rh. The functional is PBE-GGA.

Lattice parameters (Å, degrees): 3.992 3.992 4.187 90.00 90.00 90.00
Space group P4/mmm (No. 123)
Symmetry-distinct sites (fractional):
Zr (0.000, 0.000, 0.000) (multiplicity 1)
H (0.500, 0.500, 0.500) (multiplicity 1)
Pd (0.000, 0.500, 0.500) (multiplicity 2)
Rh (0.500, 0.500, 0.000) (multiplicity 1)

Results
- crystal system = tetragonal
- offset from the most stable computed form (meV per atom) = 0
- VASP energy (Ry per atom) = -0.4807

---

Record 14
This record from the Alexandria database describes an optimized crystal structure of LaPr3Pt. The functional is PBE-GGA.

Lattice parameters (Å, degrees): 5.736 5.736 5.736 90.00 90.00 90.00
Space group Pm-3m (No. 221)
Symmetry-distinct sites (fractional):
La (0.000, 0.000, 0.000) (multiplicity 1)
Pr (0.000, 0.500, 0.500) (multiplicity 3)
Pt (0.500, 0.500, 0.500) (multiplicity 1)

Results
- crystal system = cubic
- energy of formation (eV/atom) = -0.27
- offset from the most stable computed form (meV per atom) = 203
- VASP energy (Ry per atom) = -0.3915

---

Record 15
This record from the Alexandria database describes an optimized crystal structure of Er2In9Hg. The functional is PBE-GGA.

Lattice parameters (Å, degrees): 4.601 4.601 14.447 90.00 90.00 90.00
Space group P4/mmm (No. 123)
Symmetry-distinct sites (fractional):
Er (0.000, 0.000, 0.159) (multiplicity 2)
In (0.000, 0.500, 0.000) (multiplicity 2)
In (0.000, 0.500, 0.326) (multiplicity 4)
In (0.500, 0.500, 0.162) (multiplicity 2)
In (0.500, 0.500, 0.500) (multiplicity 1)
Hg (0.000, 0.000, 0.500) (multiplicity 1)

Results
- crystal system = tetragonal
- energy of formation (eV/atom) = -0.22
- VASP energy (Ry per atom) = -0.2248

---

Record 16
This record from the Alexandria database describes an optimized crystal structure of Na4Pt2Pb3. The functional is PBE-GGA.

Lattice parameters (Å, degrees): 15.809 4.257 7.759 90.00 112.11 90.00
Space group C2/m (No. 12)
Symmetry-distinct sites (fractional):
Na (0.113, 0.000, 0.350) (multiplicity 4)
Na (0.226, 0.500, 0.136) (multiplicity 4)
Pt (0.086, 0.000, 0.895) (multiplicity 4)
Pb (0.000, 0.500, 0.000) (multiplicity 2)
Pb (0.100, 0.500, 0.667) (multiplicity 4)

Results
- crystal system = monoclinic
- energy of formation (eV/atom) = -0.21
- VASP energy (Ry per atom) = -0.2481

---

Record 17
This record from the Alexandria database describes an optimized crystal structure of CaSm2TaN4. The functional is PBE-GGA.

Lattice parameters (Å, degrees): 3.465 12.156 12.502 90.00 90.00 90.00
Space group Cmcm (No. 63)
Symmetry-distinct sites (fractional):
Ca (0.000, 0.109, 0.250) (multiplicity 4)
Sm (0.000, 0.370, 0.031) (multiplicity 8)
Ta (0.000, 0.161, 0.750) (multiplicity 4)
N (0.000, 0.000, 0.000) (multiplicity 4)
N (0.000, 0.260, 0.629) (multiplicity 8)
N (0.000, 0.430, 0.250) (multiplicity 4)

Results
- crystal system = orthorhombic
- VASP energy (Ry per atom) = -0.6057

---

Record 18
This record from the Alexandria database describes an optimized crystal structure of SbPbW2. The functional is PBE-GGA.

Lattice parameters (Å, degrees): 6.839 6.839 6.839 90.00 90.00 90.00
Space group F-43m (No. 216)
Symmetry-distinct sites (fractional):
Sb (0.000, 0.000, 0.000) (multiplicity 4)
Pb (0.250, 0.250, 0.250) (multiplicity 4)
W (0.000, 0.000, 0.500) (multiplicity 4)
W (0.250, 0.250, 0.750) (multiplicity 4)

Results
- crystal system = cubic
- offset from the most stable computed form (meV per atom) = 649
- VASP energy (Ry per atom) = -0.5445

---

Record 19
This record from the Alexandria database describes an optimized crystal structure of MnCoNi2. The functional is PBE-GGA.

Lattice parameters (Å, degrees): 6.264 6.264 4.794 90.00 90.00 90.00
Space group I-42d (No. 122)
Symmetry-distinct sites (fractional):
Mn (0.000, 0.000, 0.000) (multiplicity 4)
Co (0.000, 0.000, 0.500) (multiplicity 4)
Ni (0.241, 0.250, 0.125) (multiplicity 8)

Results
- crystal system = tetragonal
- energy of formation (eV/atom) = 0.65
- VASP energy (Ry per atom) = -0.4635

---

Record 20
This record from the Alexandria database describes an optimized crystal structure of Sc3Cr. The functional is PBE-GGA.

Lattice parameters (Å, degrees): 3.283 4.899 5.340 90.00 90.00 90.00
Space group Pmm2 (No. 25)
Symmetry-distinct sites (fractional):
Sc (0.000, 0.000, 0.000) (multiplicity 1)
Sc (0.000, 0.500, 0.366) (multiplicity 1)
Sc (0.500, 0.500, 0.848) (multiplicity 1)
Cr (0.500, 0.000, 0.509) (multiplicity 1)

Results
- crystal system = orthorhombic
- energy of formation (eV/atom) = 0.22
- VASP energy (Ry per atom) = -0.5100